Below is crystalline KCa4Tl15 at its relaxed geometry, with properties calculated at the GGA-PBE level.

Summary:
* final energy: -48.396 eV/cell
* ΔH_f (0 K): -190 meV per atom
* total magnetic moment: 0.00 μB/f.u.

abc: 4.888 4.888 24.744
angles: 90.00 90.00 90.00
Atoms (fractional coordinates):
1 K 0.000 0.000 0.000
2 Ca 0.000 0.000 0.206
3 Ca 0.000 0.000 0.401
4 Ca 0.000 0.000 0.599
5 Ca 0.000 0.000 0.794
6 Tl 0.000 0.500 0.106
7 Tl 0.000 0.500 0.303
8 Tl 0.000 0.500 0.500
9 Tl 0.000 0.500 0.697
10 Tl 0.000 0.500 0.894
11 Tl 0.500 0.000 0.106
12 Tl 0.500 0.000 0.303
13 Tl 0.500 0.000 0.500
14 Tl 0.500 0.000 0.697
15 Tl 0.500 0.000 0.894
16 Tl 0.500 0.500 0.000
17 Tl 0.500 0.500 0.204
18 Tl 0.500 0.500 0.402
19 Tl 0.500 0.500 0.598
20 Tl 0.500 0.500 0.796